# TaW2Cl

Crystalline TaW2Cl at its relaxed geometry (PBE, the Alexandria database).

It has space group Cm (No. 8), with a = 9.204 Å, b = 3.140 Å, c = 5.099 Å, α = 90.00°, β = 110.20° and γ = 90.00°. The inequivalent atoms are Ta at (0.000, 0.000, 0.000), W at (0.041, 0.500, 0.506), W at (0.318, 0.500, 0.339) and Cl at (0.250, 0.000, 0.877).

The density is 14.03 g cm⁻³. The spin magnetization is 0.000 μB per formula unit. The calculation puts the raw formation energy at 0.6905 eV/atom.